Record 1
Material: LaY3
Method: DFT, GGA-PBE
State: relaxed

Values from the calculation:
crystal system = trigonal
DFT formation energy = 0.020 eV per atom
DOS(E_F) = 6.2 states/eV/f.u.
space-group type = R-3m

a = 11.934 Å, b = 11.934 Å, c = 11.934 Å
α = 17.45°, β = 17.45°, γ = 17.45°
Element x y z (fractional)
1 La 0.000 0.000 0.000
2 Y 0.249 0.249 0.249
3 Y 0.500 0.500 0.500
4 Y 0.751 0.751 0.751

=====

Record 2
Material: LaY3
Method: DFT, GGA-PBE
State: relaxed

Values from the calculation:
crystal system = orthorhombic
DFT formation energy = 0.027 eV per atom
DOS(E_F) = 8.1 states/eV/f.u.
space-group type = Pmm2

a = 3.690 Å, b = 5.793 Å, c = 6.338 Å
α = 90.00°, β = 90.00°, γ = 90.00°
Element x y z (fractional)
1 La 0.000 0.000 0.000
2 Y 0.000 0.500 0.339
3 Y 0.500 0.000 0.504
4 Y 0.500 0.500 0.837

=====

Record 3
Material: La2Y5
Method: DFT, GGA-PBE
State: relaxed

Values from the calculation:
crystal system = monoclinic
DFT formation energy = 0.020 eV per atom
DOS(E_F) = 12.9 states/eV/f.u.
ΔE to the lowest computed polymorph = 0.0 meV/atom
space-group type = C2/c

a = 8.636 Å, b = 8.636 Å, c = 9.389 Å
α = 95.42°, β = 95.42°, γ = 43.33°
Element x y z (fractional)
1 La 0.097 0.759 0.892
2 La 0.241 0.903 0.608
3 La 0.759 0.097 0.392
4 La 0.903 0.241 0.108
5 Y 0.047 0.381 0.820
6 Y 0.189 0.519 0.534
7 Y 0.336 0.664 0.250
8 Y 0.381 0.047 0.320
9 Y 0.481 0.811 0.966
10 Y 0.519 0.189 0.034
11 Y 0.619 0.953 0.680
12 Y 0.664 0.336 0.750
13 Y 0.811 0.481 0.466
14 Y 0.953 0.619 0.180

=====

Record 4
Material: La13Y3
Method: DFT, GGA-PBE
State: relaxed

Values from the calculation:
crystal system = orthorhombic
DFT formation energy = 0.010 eV per atom
DOS(E_F) = 26.2 states/eV/f.u.
space-group type = Amm2

a = 10.592 Å, b = 7.349 Å, c = 7.349 Å
α = 89.79°, β = 90.00°, γ = 90.00°
Element x y z (fractional)
1 La 0.000 0.000 0.000
2 La 0.000 0.003 0.494
3 La 0.000 0.494 0.003
4 La 0.000 0.497 0.497
5 La 0.246 0.748 0.748
6 La 0.252 0.247 0.749
7 La 0.252 0.749 0.247
8 La 0.500 0.498 0.498
9 La 0.500 0.499 0.996
10 La 0.500 0.996 0.499
11 La 0.748 0.247 0.749
12 La 0.748 0.749 0.247
13 La 0.754 0.748 0.748
14 Y 0.255 0.247 0.247
15 Y 0.500 0.999 0.999
16 Y 0.745 0.247 0.247

=====

Record 5
Material: LaY3
Method: DFT, GGA-PBE
State: relaxed

Values from the calculation:
crystal system = trigonal
DFT formation energy = 0.014 eV per atom
DOS(E_F) = 6.0 states/eV/f.u.
space-group type = R-3m

a = 9.719 Å, b = 9.719 Å, c = 9.719 Å
α = 44.14°, β = 44.14°, γ = 44.14°
Element x y z (fractional)
1 La 0.000 0.000 0.000
2 La 0.221 0.221 0.221
3 La 0.779 0.779 0.779
4 Y 0.000 0.500 0.500
5 Y 0.224 0.722 0.722
6 Y 0.278 0.278 0.776
7 Y 0.278 0.776 0.278
8 Y 0.500 0.000 0.500
9 Y 0.500 0.500 0.000
10 Y 0.722 0.224 0.722
11 Y 0.722 0.722 0.224
12 Y 0.776 0.278 0.278

=====

Record 6
Material: LaY3
Method: DFT, GGA-PBE
State: relaxed

Values from the calculation:
crystal system = cubic
DFT formation energy = 0.105 eV per atom
DOS(E_F) = 7.3 states/eV/f.u.
space-group type = Fm-3m

a = 5.770 Å, b = 5.770 Å, c = 5.770 Å
α = 60.00°, β = 60.00°, γ = 60.00°
Element x y z (fractional)
1 La 0.000 0.000 0.000
2 Y 0.250 0.250 0.250
3 Y 0.500 0.500 0.500
4 Y 0.750 0.750 0.750